Material: SrAs3Au
Method: DFT, PBE
State: relaxed

Unit cell a=5.140 b=5.140 c=5.140 alpha=90.00 beta=90.00 gamma=90.00
Fractional positions:
1 As 0.000 0.500 0.000
2 As 0.500 0.000 0.000
3 As 0.000 0.000 0.500
4 Sr 0.500 0.500 0.500
5 Au 0.000 0.000 0.000

The polymorph energy (0 for the lowest one) comes out at 0.000 eV/atom. Its space group is Pm-3m (221). Its magnetization is 0.00 μB/f.u.